TaZn2Sn | PBE | relaxed

Magnetization, μB/f.u.: 1.01

POSCAR file:
```
TaZn2Sn
1.0
-0.771 -4.511 1.098
-3.766 -1.188 2.560
-3.565 -2.333 -2.001
Zn Sn Ta
2 1 1
direct
0.000 0.000 0.000 Zn
0.750 0.750 0.750 Zn
0.500 0.500 0.500 Sn
0.250 0.250 0.250 Ta
```


TbGdAl3Ge2 | PBE | relaxed

Magnetization, μB/f.u.: 0.00

POSCAR file:
```
TbGdAl3Ge2
1.0
0.547 -1.337 -5.373
-1.455 -4.241 -3.294
-5.683 3.684 -0.326
Tb Ge Al Gd
1 2 3 1
direct
0.383 0.383 0.183 Tb
0.901 0.901 0.858 Ge
0.099 0.099 0.143 Ge
0.303 0.303 0.624 Al
0.697 0.697 0.375 Al
0.000 0.000 0.500 Al
0.617 0.617 0.817 Gd
```


AcIrNO | PBE | relaxed

Magnetization, μB/f.u.: 0.00

POSCAR file:
```
AcIrNO
1.0
2.170 -2.125 -2.071
4.432 2.223 2.363
-0.140 -4.803 4.782
O Ir N Ac
2 2 2 2
direct
0.500 0.260 0.986 O
0.500 0.760 0.014 O
0.500 0.493 0.566 Ir
0.500 0.993 0.434 Ir
0.000 0.993 0.417 N
0.000 0.493 0.583 N
0.000 0.008 0.833 Ac
0.000 0.508 0.167 Ac
```


no.,total DFT energy (no corrections) (Ry/atom)
1,-0.301
2,-0.353
3,-0.573